#1
Here is Nd2Sm6Tm3 after structural relaxation from the Alexandria database. Energies are from PBE.

Summary:
* mass density: 7.37 Mg/m³
* M_tot: 0.000 μB per cell
* DOS(E_F): 15.930 states/eV per cell
* space group: No. 12

Unit cell a=6.177 b=6.182 c=11.746 alpha=84.92 beta=79.79 gamma=60.03
Sites, in units of the cell vectors:
1 Sm 0.083 0.333 0.754
2 Sm 0.251 0.000 0.246
3 Sm 0.749 0.000 0.754
4 Sm 0.584 0.333 0.246
5 Sm 0.416 0.667 0.754
6 Sm 0.917 0.667 0.246
7 Nd 0.833 0.333 0.500
8 Nd 0.167 0.667 0.500
9 Tm 0.334 0.331 0.000
10 Tm 0.000 0.000 0.000
11 Tm 0.666 0.669 0.000

---

#2
Here is Nd2Sm6Tm3 after structural relaxation from the Alexandria database. Energies are from PBE.

Summary:
* mass density: 7.33 Mg/m³
* M_tot: 0.000 μB per cell
* DOS(E_F): 15.246 states/eV per cell
* space group: No. 139

Unit cell a=4.774 b=4.774 c=17.200 alpha=97.98 beta=97.98 gamma=90.00
Sites, in units of the cell vectors:
1 Nd 0.454 0.454 0.909
2 Nd 0.546 0.546 0.091
3 Sm 0.622 0.122 0.245
4 Sm 0.301 0.301 0.602
5 Sm 0.378 0.878 0.755
6 Sm 0.122 0.622 0.245
7 Sm 0.878 0.378 0.755
8 Sm 0.699 0.699 0.398
9 Tm 0.199 0.199 0.399
10 Tm 0.801 0.801 0.601
11 Tm 0.000 0.000 0.000

---

Energy comparison, zero being the most stable, in meV/atom: #1 0; #2 113.

---

#1
Here is Nd5Sm2Tm12 after structural relaxation from the Alexandria database. Energies are from PBE.

Summary:
* mass density: 8.32 Mg/m³
* M_tot: 0.000 μB per cell
* DOS(E_F): 31.754 states/eV per cell
* space group: No. 2

Unit cell a=6.745 b=11.739 c=12.533 alpha=138.47 beta=111.79 gamma=76.87
Sites, in units of the cell vectors:
1 Nd 0.831 0.334 0.829
2 Nd 0.000 0.000 0.500
3 Nd 0.737 0.509 0.398
4 Nd 0.169 0.666 0.171
5 Nd 0.263 0.491 0.602
6 Tm 0.790 0.408 0.607
7 Tm 0.561 0.949 0.604
8 Tm 0.655 0.749 0.026
9 Tm 0.113 0.770 0.962
10 Tm 0.935 0.123 0.251
11 Tm 0.065 0.877 0.749
12 Tm 0.210 0.592 0.393
13 Tm 0.439 0.051 0.396
14 Tm 0.687 0.617 0.201
15 Tm 0.345 0.251 0.974
16 Tm 0.887 0.230 0.038
17 Tm 0.313 0.383 0.799
18 Sm 0.387 0.150 0.185
19 Sm 0.613 0.850 0.815

---

#2
Here is Nd5Sm2Tm12 after structural relaxation from the Alexandria database. Energies are from PBE.

Summary:
* mass density: 8.10 Mg/m³
* M_tot: 0.000 μB per cell
* DOS(E_F): 27.792 states/eV per cell
* space group: No. 12

Unit cell a=8.969 b=9.950 c=8.675 alpha=67.58 beta=90.00 gamma=116.79
Sites, in units of the cell vectors:
1 Nd 0.000 0.000 0.500
2 Nd 0.719 0.437 0.766
3 Nd 0.235 0.469 0.711
4 Nd 0.765 0.531 0.289
5 Nd 0.281 0.563 0.234
6 Tm 0.041 0.710 0.904
7 Tm 0.408 0.250 0.549
8 Tm 0.331 0.290 0.096
9 Tm 0.561 0.122 0.289
10 Tm 0.843 0.250 0.549
11 Tm 0.592 0.750 0.451
12 Tm 0.043 0.086 0.818
13 Tm 0.157 0.750 0.451
14 Tm 0.669 0.710 0.904
15 Tm 0.959 0.290 0.096
16 Tm 0.957 0.914 0.182
17 Tm 0.439 0.878 0.711
18 Sm 0.328 0.000 0.000
19 Sm 0.672 0.000 0.000

---

Energy comparison, zero being the most stable, in meV/atom: #1 0; #2 153.

---

#1
Here is NdSm6Tm4 after structural relaxation from the Alexandria database. Energies are from PBE.

Summary:
* mass density: 7.92 Mg/m³
* M_tot: 0.001 μB per cell
* DOS(E_F): 37.695 states/eV per cell
* space group: No. 63

Unit cell a=5.788 b=5.634 c=25.799 alpha=90.00 beta=90.00 gamma=120.91
Sites, in units of the cell vectors:
1 Sm 0.195 0.390 0.901
2 Sm 0.130 0.261 0.181
3 Sm 0.870 0.739 0.819
4 Sm 0.805 0.610 0.099
5 Sm 0.500 0.000 0.500
6 Sm 0.805 0.610 0.401
7 Sm 0.460 0.919 0.250
8 Sm 0.130 0.261 0.319
9 Sm 0.195 0.390 0.599
10 Sm 0.500 0.000 0.000
11 Sm 0.870 0.739 0.681
12 Sm 0.540 0.081 0.750
13 Tm 0.847 0.693 0.957
14 Tm 0.153 0.307 0.043
15 Tm 0.464 0.928 0.123
16 Tm 0.153 0.307 0.457
17 Tm 0.464 0.928 0.377
18 Tm 0.536 0.072 0.623
19 Tm 0.847 0.693 0.543
20 Tm 0.536 0.072 0.877
21 Nd 0.796 0.593 0.250
22 Nd 0.204 0.407 0.750

---

#2
Here is NdSm6Tm4 after structural relaxation from the Alexandria database. Energies are from PBE.

Summary:
* mass density: 7.61 Mg/m³
* M_tot: 0.000 μB per cell
* DOS(E_F): 17.621 states/eV per cell
* space group: No. 121

Unit cell a=6.622 b=6.622 c=9.767 alpha=109.82 beta=109.82 gamma=90.00
Sites, in units of the cell vectors:
1 Sm 0.513 0.513 0.647
2 Sm 0.487 0.865 0.353
3 Sm 0.135 0.135 0.647
4 Sm 0.865 0.487 0.353
5 Sm 0.500 0.000 0.000
6 Sm 0.000 0.500 0.000
7 Tm 0.051 0.692 0.743
8 Tm 0.308 0.308 0.257
9 Tm 0.692 0.051 0.743
10 Tm 0.949 0.949 0.257
11 Nd 0.500 0.500 0.000

---

Energy comparison, zero being the most stable, in meV/atom: #1 0; #2 203.

---

#1
Here is Nd6SmTm2 after structural relaxation from the Alexandria database. Energies are from PBE.

Summary:
* mass density: 7.40 Mg/m³
* M_tot: 0.000 μB per cell
* DOS(E_F): 25.064 states/eV per cell
* space group: No. 15

Unit cell a=5.810 b=12.118 c=12.118 alpha=47.52 beta=103.86 gamma=103.86
Sites, in units of the cell vectors:
1 Nd 0.662 0.994 0.835
2 Nd 0.920 0.919 0.421
3 Nd 0.338 0.006 0.165
4 Nd 0.334 0.668 0.504
5 Nd 0.080 0.081 0.579
6 Nd 0.834 0.504 0.668
7 Nd 0.162 0.835 0.994
8 Nd 0.166 0.496 0.332
9 Nd 0.420 0.421 0.919
10 Nd 0.838 0.165 0.006
11 Nd 0.666 0.332 0.496
12 Nd 0.580 0.579 0.081
13 Tm 0.499 0.168 0.332
14 Tm 0.501 0.832 0.668
15 Tm 0.999 0.332 0.168
16 Tm 0.001 0.668 0.832
17 Sm 0.750 0.749 0.251
18 Sm 0.250 0.251 0.749

---

#2
Here is Nd6SmTm2 after structural relaxation from the Alexandria database. Energies are from PBE.

Summary:
* mass density: 7.39 Mg/m³
* M_tot: 0.000 μB per cell
* DOS(E_F): 24.925 states/eV per cell
* space group: No. 15

Unit cell a=6.256 b=10.155 c=10.155 alpha=71.47 beta=84.95 gamma=84.95
Sites, in units of the cell vectors:
1 Nd 0.681 0.262 0.981
2 Nd 0.819 0.019 0.738
3 Nd 0.014 0.591 0.313
4 Nd 0.654 0.076 0.358
5 Nd 0.319 0.738 0.019
6 Nd 0.846 0.642 0.924
7 Nd 0.986 0.409 0.687
8 Nd 0.346 0.924 0.642
9 Nd 0.181 0.981 0.262
10 Nd 0.514 0.313 0.591
11 Nd 0.486 0.687 0.409
12 Nd 0.154 0.358 0.076
13 Tm 0.086 0.234 0.435
14 Tm 0.586 0.435 0.234
15 Tm 0.414 0.565 0.766
16 Tm 0.914 0.766 0.565
17 Sm 0.750 0.900 0.100
18 Sm 0.250 0.100 0.900

---

Energy comparison, zero being the most stable, in meV/atom: #1 0; #2 92.